# 1
An optimized crystal structure of PuCuNi2H8, computed with GGA-PBE.

Unit cell a=5.968 b=5.968 c=5.968 alpha=43.38 beta=43.38 gamma=43.38
Positions (direct):
Pu (0.000, 0.000, 0.000)
Cu (0.500, 0.500, 0.500)
Ni (0.201, 0.201, 0.201)
Ni (0.799, 0.799, 0.799)
H (0.130, 0.822, 0.398)
H (0.178, 0.602, 0.870)
H (0.303, 0.303, 0.303)
H (0.398, 0.130, 0.822)
H (0.602, 0.870, 0.178)
H (0.697, 0.697, 0.697)
H (0.822, 0.398, 0.130)
H (0.870, 0.178, 0.602)

Calculated values
Spin magnetization in μB/f.u.: 5.9
Crystal system: trigonal
Uncorrected energy in eV/atom: -4.7890
Symmetry: R-3, No. 148
Theoretical density in g cm⁻³: 7.9

# 2
An optimized crystal structure of Pu2CuNi3H12, computed with GGA-PBE.

Unit cell a=5.836 b=5.836 c=5.836 alpha=59.82 beta=59.82 gamma=59.82
Positions (direct):
Pu (0.116, 0.116, 0.116)
Pu (0.884, 0.884, 0.884)
Cu (0.500, 0.500, 0.500)
Ni (0.000, 0.500, 0.500)
Ni (0.500, 0.000, 0.500)
Ni (0.500, 0.500, 0.000)
H (0.133, 0.602, 0.602)
H (0.170, 0.170, 0.623)
H (0.170, 0.623, 0.170)
H (0.377, 0.830, 0.830)
H (0.398, 0.398, 0.867)
H (0.398, 0.867, 0.398)
H (0.602, 0.133, 0.602)
H (0.602, 0.602, 0.133)
H (0.623, 0.170, 0.170)
H (0.830, 0.377, 0.830)
H (0.830, 0.830, 0.377)
H (0.867, 0.398, 0.398)

Calculated values
Spin magnetization in μB/f.u.: 11.5
Crystal system: trigonal
Uncorrected energy in eV/atom: -5.1367
Symmetry: R-3m, No. 166
Theoretical density in g cm⁻³: 8.8